# 1
CaAcMg2, optimized geometry, DFT PBE; space-group type = P4/mmm (123); energy of formation from the pure elements = -0.08 eV/atom
1.0
4.0229 0.0000 0.0000
0.0000 5.7617 0.0000
0.0000 0.0000 5.7617
Mg Ac Ca
2 1 1
Direct
0.0000 0.0000 0.5000
0.0000 0.5000 0.0000
0.5000 0.5000 0.5000
0.5000 0.0000 0.0000



# 2
CaAcMg, optimized geometry, DFT PBE; space-group type = F-43m (216); excess energy over the best structure of this formula in the dataset = 286 meV/atom; energy of formation from the pure elements = 0.24 eV/atom
1.0
-5.5577 -0.7780 0.5621
3.5981 -3.0154 3.1257
2.3840 4.7656 1.8534
Ca Ac Mg
1 1 1
Direct
0.9444 0.9722 0.9166
0.9444 0.4722 0.4166
0.4445 0.2222 0.6667



# 3
Ca2Ac6Mg, optimized geometry, DFT PBE; space-group type = P-6m2 (187); excess energy over the best structure of this formula in the dataset = 0 meV/atom; energy of formation from the pure elements = 0.09 eV/atom
1.0
3.9247 0.0000 0.0000
-1.9624 3.3989 0.0000
0.0000 0.0000 28.9022
Ca Ac Mg
2 6 1
Direct
0.6667 0.3333 0.3248
0.6667 0.3333 0.6752
0.6667 0.3333 0.9014
0.3333 0.6667 0.4357
0.3333 0.6667 0.7889
0.3333 0.6667 0.2111
0.3333 0.6667 0.5643
0.6667 0.3333 0.0986
0.3333 0.6667 0.0000



# 4
CaAcMg, optimized geometry, DFT PBE; space-group type = P4/nmm (129); excess energy over the best structure of this formula in the dataset = 0 meV/atom; energy of formation from the pure elements = -0.05 eV/atom
1.0
4.0357 0.0001 0.2528
-0.0013 4.0444 0.0049
-0.8381 -0.0163 13.4162
Ca Ac Mg
2 2 2
Direct
0.8723 0.2908 0.8532
0.3722 0.7910 0.6593
0.8723 0.2910 0.1537
0.3723 0.7911 0.3587
0.8726 0.2914 0.5215
0.3729 0.7913 0.9906



# 5
Ca2Ac6Mg, optimized geometry, DFT PBE; space-group type = C2/c (15); excess energy over the best structure of this formula in the dataset = 11 meV/atom; energy of formation from the pure elements = 0.10 eV/atom
1.0
6.9641 -1.0647 0.2093
-2.1025 10.4384 6.4811
-3.5403 2.0737 11.7708
Ca Ac Mg
4 12 2
Direct
0.5700 0.8280 0.6689
0.9300 0.3311 0.1720
0.4300 0.1720 0.3311
0.0700 0.6689 0.8280
0.7001 0.5042 0.6475
0.7999 0.3525 0.4958
0.2999 0.4958 0.3525
0.2001 0.6475 0.5042
0.9178 0.9185 0.4132
0.5822 0.5868 0.0815
0.0822 0.0815 0.5868
0.4178 0.4132 0.9185
0.0536 0.8478 0.9995
0.4464 0.0005 0.1522
0.9464 0.1522 0.0005
0.5536 0.9995 0.8478
0.2500 0.2485 0.7515
0.7500 0.7515 0.2485



# 6
Ca2AcMg2, optimized geometry, DFT PBE; space-group type = P2_1/m (11); excess energy over the best structure of this formula in the dataset = 0 meV/atom; energy of formation from the pure elements = -0.04 eV/atom
1.0
-1.5351 3.1889 1.8210
-0.6258 -3.1284 4.9507
14.3626 2.4767 3.3807
Ca Ac Mg
4 2 4
Direct
0.0478 0.7500 0.0939
0.9522 0.2500 0.9061
0.2331 0.7500 0.4671
0.7669 0.2500 0.5329
0.8510 0.7500 0.7075
0.1490 0.2500 0.2925
0.6409 0.7500 0.2783
0.3591 0.2500 0.7217
0.4512 0.7500 0.9046
0.5488 0.2500 0.0954



# 7
CaAc5Mg6, optimized geometry, DFT PBE; space-group type = Cmmm (65); energy of formation from the pure elements = -0.08 eV/atom
1.0
5.4799 -0.0328 1.8262
0.0442 8.2199 0.0147
-0.0055 -0.0164 9.1513
Mg Ca Ac
6 1 5
Direct
0.8364 0.7536 0.3271
0.8364 0.2464 0.3271
0.5000 0.2424 0.0000
0.5000 0.7576 0.0000
0.1636 0.7536 0.6729
0.1636 0.2464 0.6729
0.0000 0.0000 0.0000
0.6684 0.5000 0.6633
0.3337 0.0000 0.3327
0.0000 0.5000 0.0000
0.6663 0.0000 0.6673
0.3316 0.5000 0.3367



# 8
Ca2AcMg9, optimized geometry, DFT PBE; space-group type = R-3m (166); energy of formation from the pure elements = -0.09 eV/atom
1.0
-3.8844 -1.5874 4.6054
0.3506 -5.6714 2.5554
5.3441 0.9920 9.0638
Ca Ac Mg
2 1 9
Direct
0.8569 0.8569 0.4292
0.1431 0.1431 0.5708
0.0000 0.0000 0.0000
0.6662 0.6662 0.0013
0.3338 0.3338 0.9987
0.5000 0.5000 0.5000
0.4149 0.4149 0.2506
0.9197 0.4149 0.2506
0.4149 0.9197 0.2506
0.5851 0.5851 0.7494
0.5851 0.0803 0.7494
0.0803 0.5851 0.7494



# 9
CaAc5Mg3, optimized geometry, DFT PBE; space-group type = P6_3/mcm (193); energy of formation from the pure elements = 0.02 eV/atom
1.0
-5.7963 -0.8568 4.6572
-5.3539 -4.5983 -7.5093
5.8990 -5.6214 6.3076
Ca Ac Mg
2 10 6
Direct
0.0000 0.0000 0.0000
0.5000 0.0000 0.0000
0.0000 0.6666 0.3333
0.5000 0.3334 0.6667
0.0000 0.3334 0.6667
0.5000 0.6666 0.3333
0.7500 0.6705 0.6705
0.7500 0.0000 0.3295
0.7500 0.3294 0.0000
0.2500 0.3295 0.3295
0.2500 0.0000 0.6705
0.2500 0.6706 0.0000
0.7500 0.3332 0.3332
0.7500 0.0000 0.6668
0.7500 0.6667 0.0000
0.2500 0.6668 0.6668
0.2500 0.0000 0.3332
0.2500 0.3333 0.0000



# 10
CaAc4Mg, optimized geometry, DFT PBE; space-group type = P4/mmm (123); excess energy over the best structure of this formula in the dataset = 0 meV/atom; energy of formation from the pure elements = -0.01 eV/atom
1.0
-1.0988 -0.1299 3.8577
3.4008 -1.9297 0.9037
7.0213 13.5241 2.4554
Ca Ac Mg
1 4 1
Direct
0.0000 0.0000 0.0000
0.5000 0.5000 0.1806
0.0000 0.0000 0.6423
0.0000 0.0000 0.3577
0.5000 0.5000 0.8194
0.5000 0.5000 0.5000



# 11
CaAcMgPb, optimized geometry, DFT PBE; space-group type = F-43m (216); energy of formation from the pure elements = -0.32 eV/atom
1.0
5.7116 0.0000 0.0000
2.8558 4.9464 0.0000
2.8558 1.6488 4.6635
Pb Ac Mg Ca
1 1 1 1
Direct
0.2500 0.2500 0.2500
0.0000 0.0000 0.0000
0.7500 0.7500 0.7500
0.5000 0.5000 0.5000



# 12
CaAc2MgPd4, optimized geometry, DFT PBE; space-group type = Fddd (70); energy of formation from the pure elements = -0.68 eV/atom
1.0
-0.2323 -5.1448 -3.5054
2.7309 -6.0704 3.1924
-8.7316 -4.5905 1.7800
Ca Ac Mg Pd
2 4 2 8
Direct
0.2500 0.5000 0.5000
0.5000 0.0000 0.0000
0.1797 0.0000 0.6405
0.8203 0.0000 0.3595
0.5703 0.5000 0.8595
0.9297 0.5000 0.1405
0.7500 0.5000 0.5000
0.0000 0.0000 0.0000
0.2873 0.7063 0.1521
0.1457 0.2937 0.8479
0.0063 0.7063 0.8479
0.5606 0.2937 0.1521
0.4627 0.7937 0.3479
0.6043 0.2063 0.6521
0.7437 0.7937 0.6521
0.1894 0.2063 0.3479



# 13
CaAcPrMg, optimized geometry, DFT PBE; space-group type = F-43m (216); excess energy over the best structure of this formula in the dataset = 135 meV/atom; energy of formation from the pure elements = 0.11 eV/atom
1.0
-1.5872 -1.2196 5.5587
-3.8605 -4.3387 1.0855
1.8215 -5.0023 2.5623
Pr Ac Mg Ca
1 1 1 1
Direct
0.2500 0.2500 0.2500
0.5000 0.5000 0.5000
0.0000 0.0000 0.0000
0.7500 0.7500 0.7500



# 14
CaAcPrMg, optimized geometry, DFT PBE; space-group type = P4mm (99); excess energy over the best structure of this formula in the dataset = 0 meV/atom; energy of formation from the pure elements = -0.02 eV/atom
1.0
3.8404 0.0000 0.0000
0.0000 3.8404 0.0000
0.0000 0.0000 9.9119
Ca Ac Pr Mg
1 1 1 1
Direct
0.5000 0.5000 0.7808
0.0000 0.0000 0.0847
0.5000 0.5000 0.3535
0.0000 0.0000 0.5657



# 15
CaAcMgPt, optimized geometry, DFT PBE; space-group type = F-43m (216); energy of formation from the pure elements = -0.46 eV/atom
1.0
-5.3424 -0.1396 -0.4950
-2.7949 -4.0184 2.2014
-3.1158 0.9230 4.2714
Mg Ac Ca Pt
1 1 1 1
Direct
0.2500 0.2500 0.2500
0.0000 0.0000 0.0000
0.5000 0.5000 0.5000
0.7500 0.7500 0.7500



# 16
CaAcMgRh, optimized geometry, DFT PBE; space-group type = F-43m (216); energy of formation from the pure elements = -0.18 eV/atom
1.0
-5.3144 -0.2953 -0.4395
-2.9164 -1.8630 4.0678
-3.1002 3.3231 2.8052
Mg Ac Rh Ca
1 1 1 1
Direct
0.0000 0.0000 0.0000
0.7500 0.7500 0.7500
0.5000 0.5000 0.5000
0.2500 0.2500 0.2500



# 17
CaAcMgSb, optimized geometry, DFT PBE; space-group type = F-43m (216); uncorrected formation energy = -40.2 kJ per mole of atoms
1.0
-4.8109 2.9758 0.0083
-3.9219 -0.9525 -3.9638
-4.8755 -2.5093 1.3904
Mg Sb Ac Ca
1 1 1 1
Direct
0.5000 0.5000 0.5000
0.0000 0.0000 0.0000
0.7500 0.7500 0.7500
0.2500 0.2500 0.2500



# 18
CaAcMgSc, optimized geometry, DFT PBE; space-group type = F-43m (216); energy of formation from the pure elements = 0.11 eV/atom
1.0
5.7181 0.0000 0.0000
2.8591 4.9521 0.0000
2.8591 1.6507 4.6688
Sc Ac Mg Ca
1 1 1 1
Direct
0.0000 0.0000 0.0000
0.2500 0.2500 0.2500
0.5000 0.5000 0.5000
0.7500 0.7500 0.7500



# 19
CaAcSmMg, optimized geometry, DFT PBE; space-group type = F-43m (216); excess energy over the best structure of this formula in the dataset = 57 meV/atom; energy of formation from the pure elements = 0.04 eV/atom
1.0
5.8405 0.0000 0.0000
2.9203 5.0580 0.0000
2.9203 1.6860 4.7688
Mg Ac Ca Sm
1 1 1 1
Direct
0.0000 0.0000 0.0000
0.7500 0.7500 0.7500
0.5000 0.5000 0.5000
0.2500 0.2500 0.2500



# 20
CaAcSmMg, optimized geometry, DFT PBE; space-group type = P4mm (99); excess energy over the best structure of this formula in the dataset = 0 meV/atom; energy of formation from the pure elements = -0.01 eV/atom
1.0
3.8139 0.0000 0.0000
0.0000 3.8139 0.0000
0.0000 0.0000 9.8404
Ca Ac Sm Mg
1 1 1 1
Direct
0.0000 0.0000 0.1122
0.5000 0.5000 0.8041
0.0000 0.0000 0.5374
0.5000 0.5000 0.3310